Density functional theory data (PBE with a Hubbard U) for crystalline K6Co2O5 at its relaxed geometry.

abc: 6.613 6.613 6.534
angles: 91.72 91.72 117.55
Element x y z (fractional)
K  0.000  0.000  0.000
K  0.290  0.290  0.638
K  0.411  0.886  0.311
K  0.435  0.846  0.801
K  0.846  0.435  0.801
K  0.886  0.411  0.311
Co  0.430  0.430  0.137
Co  0.844  0.844  0.511
O  0.092  0.805  0.576
O  0.205  0.489  0.032
O  0.489  0.205  0.032
O  0.575  0.575  0.400
O  0.805  0.092  0.576

Summary:
ΔE to the lowest computed polymorph ... 0.007 eV per atom
Calculated density ... 2.8 g/cm3
Volume ... 253.0 Å³/cell
Space group ... Cm, No. 8